{
  "formula": "SrPm2ReN4",
  "functional": "GGA-PBE",
  "state": "optimized geometry",
  "sg": "No. 63",
  "raw_formation_energy_ev_per_atom": -0.850,
  "cell": [[1.7625, -6.2136, 0.0000], [1.7625, 6.2136, 0.0000], [0.0000, 0.0000, 12.4533]],
  "species": ["Sr", "Sr", "Pm", "Pm", "Pm", "Pm", "Re", "Re", "N", "N", "N", "N", "N", "N", "N", "N"],
  "frac_coords": [[0.0636, 0.9364, 0.7500], [0.9364, 0.0636, 0.2500], [0.3709, 0.6291, 0.5407], [0.3709, 0.6291, 0.9593], [0.6291, 0.3709, 0.0407], [0.6291, 0.3709, 0.4593], [0.1908, 0.8092, 0.2500], [0.8092, 0.1908, 0.7500], [0.0000, 0.0000, 0.0000], [0.0000, 0.0000, 0.5000], [0.2612, 0.7388, 0.1175], [0.2612, 0.7388, 0.3825], [0.3969, 0.6031, 0.7500], [0.6031, 0.3969, 0.2500], [0.7388, 0.2612, 0.6175], [0.7388, 0.2612, 0.8825]]
}

***

{
  "formula": "Tb2PmReN4",
  "functional": "GGA-PBE",
  "state": "optimized geometry",
  "sg": "No. 63",
  "raw_formation_energy_ev_per_atom": -1.017,
  "cell": [[1.7346, -5.8841, 0.0000], [1.7346, 5.8841, 0.0000], [0.0000, 0.0000, 11.6809]],
  "species": ["Tb", "Tb", "Tb", "Tb", "Pm", "Pm", "Re", "Re", "N", "N", "N", "N", "N", "N", "N", "N"],
  "frac_coords": [[0.1314, 0.8686, 0.5393], [0.1314, 0.8686, 0.9607], [0.8686, 0.1314, 0.0393], [0.8686, 0.1314, 0.4607], [0.3782, 0.6218, 0.7500], [0.6218, 0.3782, 0.2500], [0.3575, 0.6425, 0.2500], [0.6425, 0.3575, 0.7500], [0.0604, 0.9396, 0.7500], [0.2356, 0.7644, 0.1300], [0.2356, 0.7644, 0.3700], [0.5000, 0.5000, 0.0000], [0.5000, 0.5000, 0.5000], [0.7644, 0.2356, 0.6300], [0.7644, 0.2356, 0.8700], [0.9396, 0.0604, 0.2500]]
}

***

{
  "formula": "TbPmReN4",
  "functional": "GGA-PBE",
  "state": "optimized geometry",
  "sg": "No. 107",
  "raw_formation_energy_ev_per_atom": -0.902,
  "cell": [[-1.9415, 1.9415, 6.1737], [1.9415, -1.9415, 6.1737], [1.9415, 1.9415, -6.1737]],
  "species": ["Tb", "Pm", "Re", "N", "N", "N", "N"],
  "frac_coords": [[0.0000, 0.0000, 0.0000], [0.2921, 0.2921, 0.0000], [0.6450, 0.6450, 0.0000], [0.1448, 0.6448, 0.5000], [0.4788, 0.4788, 0.0000], [0.6448, 0.1448, 0.5000], [0.8159, 0.8159, 0.0000]]
}

***

{
  "formula": "Pm2ReTcN6",
  "functional": "GGA-PBE",
  "state": "optimized geometry",
  "sg": "No. 14",
  "raw_formation_energy_ev_per_atom": -0.594,
  "cell": [[5.5112, 0.0000, 0.0000], [0.0000, 5.5872, 0.0000], [-5.5071, 0.0000, 7.8756]],
  "species": ["Pm", "Pm", "Pm", "Pm", "Re", "Re", "Tc", "Tc", "N", "N", "N", "N", "N", "N", "N", "N", "N", "N", "N", "N"],
  "frac_coords": [[0.2460, 0.0443, 0.2500], [0.2460, 0.4557, 0.7500], [0.7540, 0.5443, 0.2500], [0.7540, 0.9557, 0.7500], [0.0000, 0.0000, 0.5000], [0.0000, 0.5000, 0.0000], [0.5000, 0.0000, 0.0000], [0.5000, 0.5000, 0.5000], [0.1746, 0.2106, 0.9662], [0.1746, 0.2894, 0.4662], [0.2555, 0.7084, 0.9662], [0.2555, 0.7916, 0.4662], [0.3146, 0.0108, 0.7487], [0.3146, 0.4892, 0.2487], [0.6854, 0.5108, 0.7513], [0.6854, 0.9892, 0.2513], [0.7445, 0.2084, 0.5338], [0.7445, 0.2916, 0.0338], [0.8254, 0.7106, 0.5338], [0.8254, 0.7894, 0.0338]]
}

***

{
  "formula": "PmTh2ReN5",
  "functional": "GGA-PBE",
  "state": "optimized geometry",
  "sg": "No. 140",
  "raw_formation_energy_ev_per_atom": -1.075,
  "cell": [[-3.3955, 3.3955, 5.8727], [3.3955, -3.3955, 5.8727], [3.3955, 3.3955, -5.8727]],
  "species": ["Pm", "Pm", "Th", "Th", "Th", "Th", "Re", "Re", "N", "N", "N", "N", "N", "N", "N", "N", "N", "N"],
  "frac_coords": [[0.2500, 0.2500, 0.0000], [0.7500, 0.7500, 0.0000], [0.1768, 0.6768, 0.8535], [0.3232, 0.1768, 0.5000], [0.6768, 0.8232, 0.5000], [0.8232, 0.3232, 0.1465], [0.2500, 0.7500, 0.5000], [0.7500, 0.2500, 0.5000], [0.0000, 0.0000, 0.0000], [0.0070, 0.2118, 0.5000], [0.2118, 0.7118, 0.2049], [0.2882, 0.4930, 0.5000], [0.4930, 0.9930, 0.2049], [0.5000, 0.5000, 0.0000], [0.5070, 0.0070, 0.7951], [0.7118, 0.5070, 0.5000], [0.7882, 0.2882, 0.7951], [0.9930, 0.7882, 0.5000]]
}

***

{
  "formula": "Pm2TiReN6",
  "functional": "GGA-PBE",
  "state": "optimized geometry",
  "sg": "No. 14",
  "raw_formation_energy_ev_per_atom": -0.815,
  "cell": [[5.5411, 0.0000, 0.0000], [0.0000, 5.6458, 0.0000], [-5.5184, 0.0000, 7.8664]],
  "species": ["Pm", "Pm", "Pm", "Pm", "Ti", "Ti", "Re", "Re", "N", "N", "N", "N", "N", "N", "N", "N", "N", "N", "N", "N"],
  "frac_coords": [[0.2426, 0.0472, 0.2504], [0.2426, 0.4528, 0.7504], [0.7574, 0.5472, 0.2496], [0.7574, 0.9528, 0.7496], [0.5000, 0.0000, 0.0000], [0.5000, 0.5000, 0.5000], [0.0000, 0.0000, 0.5000], [0.0000, 0.5000, 0.0000], [0.1696, 0.2153, 0.9604], [0.1696, 0.2847, 0.4604], [0.2453, 0.7087, 0.9619], [0.2453, 0.7913, 0.4619], [0.3195, 0.0137, 0.7462], [0.3195, 0.4863, 0.2462], [0.6805, 0.5137, 0.7538], [0.6805, 0.9863, 0.2538], [0.7547, 0.2087, 0.5381], [0.7547, 0.2913, 0.0381], [0.8304, 0.7153, 0.5396], [0.8304, 0.7847, 0.0396]]
}

***

{
  "formula": "PmTm2ReN4",
  "functional": "GGA-PBE",
  "state": "optimized geometry",
  "sg": "No. 63",
  "raw_formation_energy_ev_per_atom": -1.086,
  "cell": [[1.7150, -5.8014, 0.0000], [1.7150, 5.8014, 0.0000], [0.0000, 0.0000, 11.4674]],
  "species": ["Pm", "Pm", "Tm", "Tm", "Tm", "Tm", "Re", "Re", "N", "N", "N", "N", "N", "N", "N", "N"],
  "frac_coords": [[0.1213, 0.8787, 0.7500], [0.8787, 0.1213, 0.2500], [0.3689, 0.6311, 0.5390], [0.3689, 0.6311, 0.9610], [0.6311, 0.3689, 0.0390], [0.6311, 0.3689, 0.4610], [0.1410, 0.8590, 0.2500], [0.8590, 0.1410, 0.7500], [0.0000, 0.0000, 0.0000], [0.0000, 0.0000, 0.5000], [0.2620, 0.7380, 0.1256], [0.2620, 0.7380, 0.3744], [0.4443, 0.5557, 0.7500], [0.5557, 0.4443, 0.2500], [0.7380, 0.2620, 0.6256], [0.7380, 0.2620, 0.8744]]
}

***

{
  "formula": "Pm2VReN6",
  "functional": "GGA-PBE",
  "state": "optimized geometry",
  "sg": "No. 14",
  "raw_formation_energy_ev_per_atom": -0.780,
  "cell": [[5.5006, 0.0000, 0.0000], [0.0000, 5.5436, 0.0000], [-5.4995, 0.0000, 7.7682]],
  "species": ["Pm", "Pm", "Pm", "Pm", "V", "V", "Re", "Re", "N", "N", "N", "N", "N", "N", "N", "N", "N", "N", "N", "N"],
  "frac_coords": [[0.2452, 0.0393, 0.2505], [0.2452, 0.4607, 0.7505], [0.7548, 0.5393, 0.2495], [0.7548, 0.9607, 0.7495], [0.5000, 0.0000, 0.0000], [0.5000, 0.5000, 0.5000], [0.0000, 0.0000, 0.5000], [0.0000, 0.5000, 0.0000], [0.1848, 0.2140, 0.9658], [0.1848, 0.2860, 0.4658], [0.2483, 0.7163, 0.9658], [0.2483, 0.7837, 0.4658], [0.3163, 0.0080, 0.7514], [0.3163, 0.4920, 0.2514], [0.6837, 0.5080, 0.7486], [0.6837, 0.9920, 0.2486], [0.7517, 0.2163, 0.5342], [0.7517, 0.2837, 0.0342], [0.8152, 0.7140, 0.5342], [0.8152, 0.7860, 0.0342]]
}

***

{
  "formula": "Pm2VReN5",
  "functional": "GGA-PBE",
  "state": "optimized geometry",
  "sg": "No. 36",
  "raw_formation_energy_ev_per_atom": -0.477,
  "cell": [[1.6498, -8.6190, 0.0000], [1.6498, 8.6190, 0.0000], [0.0000, 0.0000, 9.4269]],
  "species": ["Pm", "Pm", "Pm", "Pm", "V", "V", "Re", "Re", "N", "N", "N", "N", "N", "N", "N", "N", "N", "N"],
  "frac_coords": [[0.0345, 0.9655, 0.5000], [0.1706, 0.8294, 0.7743], [0.8294, 0.1706, 0.2743], [0.9655, 0.0345, 0.0000], [0.3104, 0.6896, 0.9944], [0.6896, 0.3104, 0.4944], [0.1833, 0.8167, 0.1230], [0.8167, 0.1833, 0.6230], [0.1025, 0.8975, 0.9996], [0.2456, 0.7544, 0.5330], [0.3365, 0.6635, 0.7570], [0.3953, 0.6047, 0.8570], [0.3976, 0.6024, 0.1396], [0.6024, 0.3976, 0.6396], [0.6047, 0.3953, 0.3570], [0.6635, 0.3365, 0.2570], [0.7544, 0.2456, 0.0330], [0.8975, 0.1025, 0.4996]]
}

***

{
  "formula": "Pm2ReWN6",
  "functional": "GGA-PBE",
  "state": "optimized geometry",
  "sg": "No. 99",
  "raw_formation_energy_ev_per_atom": -0.756,
  "cell": [[5.4666, 0.0000, 0.0000], [0.0000, 5.4666, 0.0000], [0.0000, 0.0000, 4.5927]],
  "species": ["Pm", "Pm", "Re", "W", "N", "N", "N", "N", "N", "N"],
  "frac_coords": [[0.0000, 0.5000, 0.0000], [0.5000, 0.0000, 0.0000], [0.0000, 0.0000, 0.5690], [0.5000, 0.5000, 0.5736], [0.0000, 0.0000, 0.1847], [0.2477, 0.2477, 0.6867], [0.2477, 0.7523, 0.6867], [0.5000, 0.5000, 0.1798], [0.7523, 0.2477, 0.6867], [0.7523, 0.7523, 0.6867]]
}

***

{
  "formula": "Pm2ZrReN6",
  "functional": "GGA-PBE",
  "state": "optimized geometry",
  "sg": "No. 14",
  "raw_formation_energy_ev_per_atom": -0.797,
  "cell": [[5.6416, 0.0000, 0.0000], [0.0000, 5.8289, 0.0000], [-5.5722, 0.0000, 8.0563]],
  "species": ["Pm", "Pm", "Pm", "Pm", "Zr", "Zr", "Re", "Re", "N", "N", "N", "N", "N", "N", "N", "N", "N", "N", "N", "N"],
  "frac_coords": [[0.2383, 0.0556, 0.2507], [0.2383, 0.4444, 0.7507], [0.7617, 0.5556, 0.2493], [0.7617, 0.9444, 0.7493], [0.5000, 0.0000, 0.0000], [0.5000, 0.5000, 0.5000], [0.0000, 0.0000, 0.5000], [0.0000, 0.5000, 0.0000], [0.1429, 0.2171, 0.9496], [0.1429, 0.2829, 0.4496], [0.2362, 0.6945, 0.9540], [0.2362, 0.8055, 0.4540], [0.3281, 0.0247, 0.7372], [0.3281, 0.4753, 0.2372], [0.6719, 0.5247, 0.7628], [0.6719, 0.9753, 0.2628], [0.7638, 0.1945, 0.5460], [0.7638, 0.3055, 0.0460], [0.8571, 0.7171, 0.5504], [0.8571, 0.7829, 0.0504]]
}

***

{
  "formula": "Pm6RhN3",
  "functional": "GGA-PBE",
  "state": "optimized geometry",
  "sg": "No. 11",
  "raw_formation_energy_ev_per_atom": -0.892,
  "cell": [[10.8362, 0.0000, 0.0000], [0.0000, 3.6221, 0.0000], [-4.9067, 0.0000, 11.4899]],
  "species": ["Pm", "Pm", "Pm", "Pm", "Pm", "Pm", "Pm", "Pm", "Pm", "Pm", "Pm", "Pm", "Rh", "Rh", "N", "N", "N", "N", "N", "N"],
  "frac_coords": [[0.0251, 0.2500, 0.2780], [0.1479, 0.2500, 0.5795], [0.1508, 0.7500, 0.1080], [0.3177, 0.7500, 0.4173], [0.3491, 0.7500, 0.9282], [0.4660, 0.2500, 0.2308], [0.5340, 0.7500, 0.7692], [0.6509, 0.2500, 0.0718], [0.6823, 0.2500, 0.5827], [0.8492, 0.2500, 0.8920], [0.8521, 0.7500, 0.4205], [0.9749, 0.7500, 0.7220], [0.1268, 0.2500, 0.9207], [0.8732, 0.7500, 0.0793], [0.0924, 0.7500, 0.4343], [0.2585, 0.2500, 0.2756], [0.4880, 0.2500, 0.8757], [0.5120, 0.7500, 0.1243], [0.7415, 0.7500, 0.7244], [0.9076, 0.2500, 0.5657]]
}